a | This record from Alexandria via LeMat-Bulk describes a relaxed structure of Tb6CePr. The functional is GGA-PBE.

Geometry as POSCAR:
```
Tb6CePr
1.0
6.536 0.000 0.000
-0.003 6.616 0.000
-3.257 -3.164 5.983
Tb Ce Pr
6 1 1
direct
0.231 0.410 0.462
0.248 0.000 0.000
0.260 0.937 0.520
0.740 0.063 0.480
0.752 0.000 0.000
0.769 0.590 0.538
0.000 0.500 0.000
0.500 0.500 0.000
```

- Magnetic moment: 0.171 μB per atom
- Space group: P-1
- Volume: 32.34 A^3/atom
- D(E_F): 16.22 states/eV/cell

=====

b | This record from Alexandria via LeMat-Bulk describes a relaxed structure of Tb6CePr. The functional is GGA-PBE.

Geometry as POSCAR:
```
Tb6CePr
1.0
5.054 0.000 0.000
0.000 5.054 0.000
0.000 0.000 10.103
Tb Ce Pr
6 1 1
direct
0.000 0.000 0.000
0.000 0.000 0.500
0.000 0.500 0.246
0.000 0.500 0.754
0.500 0.000 0.246
0.500 0.000 0.754
0.500 0.500 0.000
0.500 0.500 0.500
```

- Magnetic moment: 0.097 μB per atom
- Space group: P4/mmm
- Volume: 32.26 A^3/atom
- D(E_F): 12.64 states/eV/cell

=====

b takes first place; second place is 15.9 kJ/mol of atoms up.